# W3AuS (GGA-PBE, optimized geometry)
# Magnetization ... 0.0 μB per formula unit
# Total energy ... -31.44 eV/cell
# Energy above the lowest structure with this stoichiometry ... 2.060 eV/atom
# V ... 23.16 A^3/atom
# Density of states at the Fermi level ... 1.66 states/eV per atom
# Formation energy (no corrections) ... 14.82 eV/f.u.
data_W3AuS
_cell_length_a 4.874
_cell_length_b 4.874
_cell_length_c 4.874
_cell_angle_alpha 90.00
_cell_angle_beta 90.00
_cell_angle_gamma 90.00
_symmetry_space_group_name_H-M 'P m -3 m'
_symmetry_Int_Tables_number 221
_symmetry_space_group_name_Hall '-P 4 2 3'
loop_
_atom_site_label
_atom_site_fract_x
_atom_site_fract_y
_atom_site_fract_z
W1 0.000 0.000 0.500
Au1 0.000 0.000 0.000
S1 0.500 0.500 0.500